Here is a relaxed structure of Ho2SbH from the Alexandria database. Energies are from PBE.

Cell lengths 4.0802, 4.0802, 18.8634 Å; angles 90.00, 90.00, 120.00 degrees
Space group R-3m (No. 166, hexagonal axes)
Symmetry-distinct sites (fractional):
Ho 0.0000 0.0000 0.2358 x6
Sb 0.0000 0.0000 0.0000 x3
H 0.0000 0.0000 0.5000 x3

**Magnetic moment**: 0.00 μB per formula unit
**ΔE to the lowest computed polymorph**: 0.174 eV/atom
**Electronic total energy**: -4.694 eV per atom